Record 1
# SCAN CsBaAu2, single point on PBEsol structure
# Theoretical density (g/cm3): 8.686
# Formation energy from the elements (eV/atom): -0.56
data_CsBaAu2
_chemical_formula_sum 'Cs1 Ba1 Au2'
_symmetry_space_group_name_H-M 'P 1'
_symmetry_Int_Tables_number 1
_symmetry_space_group_name_Hall 'P 1'
_cell_length_a 5.642
_cell_length_b 5.642
_cell_length_c 5.642
_cell_angle_alpha 60.00
_cell_angle_beta 60.00
_cell_angle_gamma 60.00
loop_
_atom_site_label
_atom_site_type_symbol
_atom_site_fract_x
_atom_site_fract_y
_atom_site_fract_z
Cs1 Cs 0.000 0.000 0.000
Ba1 Ba 0.500 0.500 0.500
Au1 Au 0.250 0.250 0.250
Au2 Au 0.750 0.750 0.750

Record 2
# SCAN CsBaPd2Au, single point on PBEsol structure
# Theoretical density (g/cm3): 6.440
# Formation energy from the elements (eV/atom): 0.89
data_CsBaPd2Au
_chemical_formula_sum 'Cs1 Ba1 Pd2 Au1'
_symmetry_space_group_name_H-M 'P 1'
_symmetry_Int_Tables_number 1
_symmetry_space_group_name_Hall 'P 1'
_cell_length_a 5.116
_cell_length_b 5.116
_cell_length_c 6.699
_cell_angle_alpha 90.00
_cell_angle_beta 90.00
_cell_angle_gamma 90.00
loop_
_atom_site_label
_atom_site_type_symbol
_atom_site_fract_x
_atom_site_fract_y
_atom_site_fract_z
Cs1 Cs 0.000 0.000 0.000
Ba1 Ba 0.000 0.000 0.500
Pd1 Pd 0.000 0.500 0.000
Pd2 Pd 0.500 0.000 0.000
Au1 Au 0.500 0.500 0.500

Repeat the first record exactly.
# SCAN CsBaAu2, single point on PBEsol structure
# Theoretical density (g/cm3): 8.686
# Formation energy from the elements (eV/atom): -0.56
data_CsBaAu2
_chemical_formula_sum 'Cs1 Ba1 Au2'
_symmetry_space_group_name_H-M 'P 1'
_symmetry_Int_Tables_number 1
_symmetry_space_group_name_Hall 'P 1'
_cell_length_a 5.642
_cell_length_b 5.642
_cell_length_c 5.642
_cell_angle_alpha 60.00
_cell_angle_beta 60.00
_cell_angle_gamma 60.00
loop_
_atom_site_label
_atom_site_type_symbol
_atom_site_fract_x
_atom_site_fract_y
_atom_site_fract_z
Cs1 Cs 0.000 0.000 0.000
Ba1 Ba 0.500 0.500 0.500
Au1 Au 0.250 0.250 0.250
Au2 Au 0.750 0.750 0.750